Entry from the Alexandria database: an optimized crystal structure of CaOsRh2 (PBE-GGA).

## Properties
V: 65.5 Å³/cell
Fermi-level density of states: 1.192 states/eV/atom
Offset from the most stable computed form: 1.33 eV/f.u.

The structure in POSCAR format:
```
CaOsRh2
1.0
2.855 0.000 0.000
0.000 4.651 0.000
0.000 0.000 4.933
Ca Os Rh
1 1 2
direct
0.000 0.000 0.000
0.500 0.000 0.500
0.000 0.500 0.500
0.500 0.500 0.000
```

Entry from the Alexandria database: an optimized crystal structure of CaOsRh2 (PBE-GGA).

## Properties
V: 68.5 Å³/cell
Fermi-level density of states: 1.315 states/eV/atom
Offset from the most stable computed form: 0.62 eV/f.u.

The structure in POSCAR format:
```
CaOsRh2
1.0
2.775 0.000 0.000
0.000 4.042 0.000
0.000 0.000 6.106
Ca Os Rh
1 1 2
direct
0.000 0.000 0.000
0.500 0.500 0.326
0.000 0.000 0.486
0.500 0.500 0.738
```

Entry from the Alexandria database: an optimized crystal structure of Ca2OsRh (PBE-GGA).

## Properties
V: 79.8 Å³/cell
Fermi-level density of states: 1.454 states/eV/atom
Offset from the most stable computed form: 1.55 eV/f.u.

The structure in POSCAR format:
```
Ca2OsRh
1.0
-2.099 2.099 4.527
2.099 -2.099 4.527
2.099 2.099 -4.527
Ca Os Rh
2 1 1
direct
0.000 0.000 0.000
0.750 0.250 0.500
0.250 0.750 0.500
0.500 0.500 0.000
```